No. 1
VASP calculation (PBE) on a relaxed NbPRhCl2 crystal.

Properties
Total magnetic moment = 2.315 μB per formula unit
Symmetry = P4/mmm (123)
Electronic total energy = -23.584 eV/cell
Excess energy over the best structure of this formula in the dataset = 0.994 eV per formula unit

a b c (Å): 4.6582 4.6582 4.7375
angles (deg): 90.00 90.00 90.00
Last column: nearest neighbours and their distance in Å.
Fractional positions:
P 0.0000 0.0000 0.5000  2 Rh 2.37
Nb 0.5000 0.5000 0.5000  4 P 3.29, 8 Cl 3.32
Rh 0.0000 0.0000 0.0000  4 Cl 2.33, 2 P 2.37
Cl 0.0000 0.5000 0.0000  2 Rh 2.33
Cl 0.5000 0.0000 0.0000  2 Rh 2.33


No. 2
VASP calculation (PBE) on a relaxed NbPRhCl2 crystal.

Properties
Total magnetic moment = 1.700 μB per formula unit
Symmetry = P4/mmm (123)
Electronic total energy = -24.578 eV/cell
Excess energy over the best structure of this formula in the dataset = 0.000 eV per formula unit

a b c (Å): 4.7736 4.7736 5.0045
angles (deg): 90.00 90.00 90.00
Last column: nearest neighbours and their distance in Å.
Fractional positions:
P 0.0000 0.0000 0.5000  2 Nb 2.50
Nb 0.0000 0.0000 0.0000  4 Cl 2.39, 2 P 2.50
Rh 0.5000 0.5000 0.5000  4 P 3.38, 8 Cl 3.46
Cl 0.0000 0.5000 0.0000  2 Nb 2.39
Cl 0.5000 0.0000 0.0000  2 Nb 2.39


No. 3
VASP calculation (PBE) on a relaxed Nb2PRhCl crystal.

Properties
Total magnetic moment = 0.000 μB per formula unit
Symmetry = P4/mmm (123)
Electronic total energy = -29.960 eV/cell

a b c (Å): 4.7249 4.4766 4.7249
angles (deg): 90.00 90.00 90.00
Last column: nearest neighbours and their distance in Å.
Fractional positions:
P 0.0000 0.0000 0.0000  2 Cl 2.24, 4 Nb 2.36
Nb 0.0000 0.0000 0.5000  2 P 2.36
Nb 0.5000 0.0000 0.0000  2 P 2.36
Rh 0.5000 0.5000 0.5000  8 Nb 3.25, 4 Cl 3.34
Cl 0.0000 0.5000 0.0000  2 P 2.24